Computed, not measured: crystalline MgRe2Ni at its relaxed geometry at the PBE level of DFT.

Cell: 4.325 4.325 4.325 Å, 60.00 60.00 60.00°
Atoms (fractional coordinates):
Mg: 0.000 0.000 0.000
Re: 0.500 0.500 0.500
Re: 0.750 0.750 0.750
Ni: 0.250 0.250 0.250

Energy relative to the elements (meV per atom): 158
Space group: F-43m

---

Computed, not measured: crystalline MgRe2Ni at its relaxed geometry at the PBE level of DFT.

Cell: 9.946 9.946 9.946 Å, 159.04 159.04 29.81°
Atoms (fractional coordinates):
Mg: 0.000 0.000 0.000
Mg: 0.750 0.250 0.500
Re: 0.121 0.625 0.996
Re: 0.375 0.371 0.496
Re: 0.629 0.125 0.004
Re: 0.875 0.879 0.504
Ni: 0.250 0.750 0.500
Ni: 0.500 0.500 0.000

Energy relative to the elements (meV per atom): 631
Space group: I-42d

---

Computed, not measured: crystalline MgRe2Ni at its relaxed geometry at the PBE level of DFT.

Cell: 2.685 2.685 8.552 Å, 90.00 90.00 107.89°
Atoms (fractional coordinates):
Mg: 0.000 0.000 0.000
Re: 0.000 0.000 0.531
Re: 0.500 0.500 0.277
Ni: 0.500 0.500 0.757

Energy relative to the elements (meV per atom): 183
Space group: Cmm2

---

Computed, not measured: crystalline MgRe2Ni at its relaxed geometry at the PBE level of DFT.

Cell: 4.701 4.701 4.939 Å, 97.49 97.49 32.75°
Atoms (fractional coordinates):
Mg: 0.000 0.000 0.000
Re: 0.524 0.524 0.510
Re: 0.765 0.765 0.309
Ni: 0.248 0.248 0.812

Energy relative to the elements (meV per atom): 204
Space group: Cm

---

Computed, not measured: crystalline Mg4ReNi at its relaxed geometry at the PBE level of DFT.

Cell: 5.283 5.283 5.283 Å, 60.00 60.00 60.00°
Atoms (fractional coordinates):
Mg: 0.376 0.376 0.376
Mg: 0.376 0.376 0.873
Mg: 0.376 0.873 0.376
Mg: 0.873 0.376 0.376
Re: 0.750 0.750 0.750
Ni: 0.000 0.000 0.000

Energy relative to the elements (meV per atom): 762
Space group: F-43m

---

Computed, not measured: crystalline MgRe2Ni at its relaxed geometry at the PBE level of DFT.

Cell: 4.630 4.630 2.654 Å, 90.00 90.00 90.00°
Atoms (fractional coordinates):
Mg: 0.000 0.000 0.000
Re: 0.000 0.500 0.500
Re: 0.500 0.000 0.500
Ni: 0.500 0.500 0.000

Energy relative to the elements (meV per atom): 551
Space group: P4/mmm

---

Computed, not measured: crystalline Mg2ReNi at its relaxed geometry at the PBE level of DFT.

Cell: 2.710 4.393 5.346 Å, 90.00 101.14 90.00°
Atoms (fractional coordinates):
Mg: 0.000 0.000 0.000
Mg: 0.278 0.500 0.711
Re: 0.613 0.000 0.470
Ni: 0.719 0.500 0.254

Relative energy among the computed polymorphs (eV per atom): 0.146
Energy relative to the elements (meV per atom): 243
Space group: Pm

---

Computed, not measured: crystalline Mg2ReNi2 at its relaxed geometry at the PBE level of DFT.

Cell: 7.119 7.119 2.766 Å, 90.00 90.00 90.00°
Atoms (fractional coordinates):
Mg: 0.166 0.334 0.000
Mg: 0.334 0.834 0.000
Mg: 0.666 0.166 0.000
Mg: 0.834 0.666 0.000
Re: 0.000 0.000 0.500
Re: 0.500 0.500 0.500
Ni: 0.132 0.632 0.500
Ni: 0.368 0.132 0.500
Ni: 0.632 0.868 0.500
Ni: 0.868 0.368 0.500

Energy relative to the elements (meV per atom): 267
Space group: P4/mbm

---

Computed, not measured: crystalline MgRe2Ni at its relaxed geometry at the PBE level of DFT.

Cell: 2.746 3.891 5.532 Å, 90.00 90.00 90.00°
Atoms (fractional coordinates):
Mg: 0.000 0.000 0.000
Re: 0.000 0.000 0.493
Re: 0.500 0.500 0.700
Ni: 0.500 0.500 0.219

Energy relative to the elements (meV per atom): 199
Space group: Pmm2

---

Computed, not measured: crystalline Mg2ReNi at its relaxed geometry at the PBE level of DFT.

Cell: 2.809 2.809 8.158 Å, 90.00 90.00 90.00°
Atoms (fractional coordinates):
Mg: 0.000 0.000 0.000
Mg: 0.500 0.500 0.321
Re: 0.500 0.500 0.741
Ni: 0.000 0.000 0.549

Relative energy among the computed polymorphs (eV per atom): 0.000
Energy relative to the elements (meV per atom): 97
Space group: P4mm

---

Computed, not measured: crystalline Mg2ReNi at its relaxed geometry at the PBE level of DFT.

Cell: 5.192 5.192 2.651 Å, 99.88 99.88 116.45°
Atoms (fractional coordinates):
Mg: 0.000 0.500 0.000
Mg: 0.500 0.000 0.000
Re: 0.000 0.000 0.500
Ni: 0.500 0.500 0.500

Relative energy among the computed polymorphs (eV per atom): 0.136
Energy relative to the elements (meV per atom): 233
Space group: C2/m

---

Computed, not measured: crystalline MgRe2Ni at its relaxed geometry at the PBE level of DFT.

Cell: 2.630 2.630 8.374 Å, 90.00 90.00 90.00°
Atoms (fractional coordinates):
Mg: 0.000 0.000 0.000
Re: 0.500 0.500 0.272
Re: 0.500 0.500 0.728
Ni: 0.000 0.000 0.500

Energy relative to the elements (meV per atom): 230
Space group: P4/mmm

---

Computed, not measured: crystalline Mg2ReNi at its relaxed geometry at the PBE level of DFT.

Cell: 5.636 5.636 5.636 Å, 102.19 102.19 125.30°
Atoms (fractional coordinates):
Mg: 0.091 0.125 0.466
Mg: 0.375 0.909 0.034
Mg: 0.659 0.625 0.534
Mg: 0.875 0.341 0.966
Re: 0.250 0.750 0.500
Re: 0.500 0.500 0.000
Ni: 0.000 0.000 0.000
Ni: 0.750 0.250 0.500

Relative energy among the computed polymorphs (eV per atom): 0.655
Energy relative to the elements (meV per atom): 751
Space group: I-42d

---

Computed, not measured: crystalline Mg2ReNi at its relaxed geometry at the PBE level of DFT.

Cell: 5.368 5.368 4.947 Å, 115.21 115.21 29.08°
Atoms (fractional coordinates):
Mg: 0.000 0.000 0.000
Mg: 0.215 0.215 0.604
Re: 0.765 0.765 0.140
Ni: 0.473 0.473 0.514

Relative energy among the computed polymorphs (eV per atom): 0.077
Energy relative to the elements (meV per atom): 173
Space group: Cm

---

Computed, not measured: crystalline Mg2ReNi at its relaxed geometry at the PBE level of DFT.

Cell: 2.658 4.161 5.523 Å, 90.00 90.00 90.00°
Atoms (fractional coordinates):
Mg: 0.000 0.000 0.245
Mg: 0.000 0.000 0.755
Re: 0.500 0.500 0.500
Ni: 0.500 0.500 0.000

Relative energy among the computed polymorphs (eV per atom): 0.186
Energy relative to the elements (meV per atom): 282
Space group: Pmmm

---

Computed, not measured: crystalline Mg2ReNi at its relaxed geometry at the PBE level of DFT.

Cell: 2.661 4.386 5.247 Å, 90.00 99.74 90.00°
Atoms (fractional coordinates):
Mg: 0.195 0.000 0.254
Mg: 0.805 0.000 0.746
Re: 0.500 0.500 0.000
Ni: 0.000 0.500 0.500

Relative energy among the computed polymorphs (eV per atom): 0.163
Energy relative to the elements (meV per atom): 260
Space group: P2/m

---

Computed, not measured: crystalline Mg2ReNi at its relaxed geometry at the PBE level of DFT.

Cell: 5.336 5.336 5.336 Å, 149.67 128.00 61.40°
Atoms (fractional coordinates):
Mg: 0.227 0.227 0.000
Mg: 0.773 0.773 0.000
Re: 0.500 0.000 0.500
Ni: 0.000 0.500 0.500

Relative energy among the computed polymorphs (eV per atom): 0.175
Energy relative to the elements (meV per atom): 272
Space group: Immm

---

Computed, not measured: crystalline MgRe2Ni2 at its relaxed geometry at the PBE level of DFT.

Cell: 7.427 7.427 2.636 Å, 90.00 90.00 90.00°
Atoms (fractional coordinates):
Mg: 0.000 0.000 0.000
Mg: 0.500 0.500 0.000
Re: 0.125 0.375 0.500
Re: 0.375 0.875 0.500
Re: 0.625 0.125 0.500
Re: 0.875 0.625 0.500
Ni: 0.167 0.667 0.000
Ni: 0.333 0.167 0.000
Ni: 0.667 0.833 0.000
Ni: 0.833 0.333 0.000

Energy relative to the elements (meV per atom): 233
Space group: P4/mbm

---

Computed, not measured: crystalline Mg2ReNi at its relaxed geometry at the PBE level of DFT.

Cell: 4.437 4.437 4.437 Å, 60.00 60.00 60.00°
Atoms (fractional coordinates):
Mg: 0.250 0.250 0.250
Mg: 0.750 0.750 0.750
Re: 0.000 0.000 0.000
Ni: 0.500 0.500 0.500

Relative energy among the computed polymorphs (eV per atom): 0.433
Energy relative to the elements (meV per atom): 530
Space group: Fm-3m

---

Computed, not measured: crystalline MgRe2Ni at its relaxed geometry at the PBE level of DFT.

Cell: 3.198 4.089 4.426 Å, 90.00 90.00 90.00°
Atoms (fractional coordinates):
Mg: 0.000 0.000 0.000
Re: 0.000 0.500 0.500
Re: 0.500 0.000 0.500
Ni: 0.500 0.500 0.000

Energy relative to the elements (meV per atom): 203
Space group: Pmmm